[1]
Here is a relaxed Tl2SbH2 crystal from Alexandria via LeMat-Bulk. Energies are from GGA-PBE.

Energy above the lowest structure with this stoichiometry in meV per atom: 0

```
5
Lattice="4.782 0.000 0.000 -2.391 4.140 -0.043 0.000 0.112 8.720" Properties=species:S:1:pos:R:3 pbc="T T T"
Tl 2.391 1.396 1.494
Tl 0.000 2.857 7.183
H 2.391 4.201 4.693
H 0.000 0.052 3.983
Sb 0.000 0.000 0.000
```

---

[2]
Here is a relaxed Er5BiB2 crystal from Alexandria via LeMat-Bulk. Energies are from GGA-PBE.

Energy relative to the elements in eV/atom: -0.235

```
16
Lattice="-5.755 -4.120 -0.485 -0.696 1.777 -6.832 7.385 -4.418 1.781" Properties=species:S:1:pos:R:3 pbc="T T T"
Er 0.000 0.000 0.000
Er -3.376 -2.699 -6.475
Er -3.225 -1.171 -3.659
Er -0.387 -0.925 -5.132
Er -0.966 -2.477 -1.794
Er 1.901 -4.284 -3.742
Er 1.321 -5.836 -0.404
Er 4.890 -2.510 -2.399
Er 4.311 -4.063 0.939
Er -3.956 -4.251 -3.137
B -0.834 0.322 -2.807
B -3.497 -2.285 -0.945
B -2.954 -0.058 -6.372
B -5.617 -2.665 -4.511
Bi 2.080 -2.795 -0.939
Bi -1.146 -3.966 -4.597
```

---

[3]
Here is a relaxed La2Tb8Sm3 crystal from Alexandria via LeMat-Bulk. Energies are from GGA-PBE.

Energy relative to the elements in eV/atom: 0.223
Energy above the lowest structure with this stoichiometry in meV per atom: 0

```
13
Lattice="-6.886 -0.986 -0.907 -3.126 -3.825 -8.230 -3.400 -8.958 -0.565" Properties=species:S:1:pos:R:3 pbc="T T T"
La -4.701 -3.307 -2.383
La -8.711 -10.463 -7.319
Sm -3.352 -8.057 -1.910
Sm -3.443 -0.493 -0.454
Sm -3.174 -4.726 -6.884
Tb -9.129 -6.298 -4.544
Tb -6.451 -6.364 -2.468
Tb -4.283 -7.472 -5.157
Tb -1.298 -2.448 -1.686
Tb -6.351 -4.494 -5.261
Tb -6.961 -7.405 -7.233
Tb -7.061 -9.276 -4.440
Tb -12.114 -11.322 -8.015
```

---

[4]
Here is a relaxed SmScZnIn crystal from Alexandria via LeMat-Bulk. Energies are from GGA-PBE.

Energy relative to the elements in eV/atom: -0.409
Energy above the lowest structure with this stoichiometry in meV per atom: 0

```
4
Lattice="-1.833 -0.817 -2.946 -1.569 -2.697 1.724 -5.386 4.481 2.108" Properties=species:S:1:pos:R:3 pbc="T T T"
Sm -2.372 -1.199 -0.348
In -4.469 3.718 1.749
Zn -2.096 1.744 0.821
Sc -4.849 0.862 0.622
```

---

[5]
Here is a relaxed MgTe2Ru crystal from Alexandria via LeMat-Bulk. Energies are from GGA-PBE.

Energy relative to the elements, uncorrected in eV per atom: -0.046

```
4
Lattice="4.006 0.000 0.000 0.000 6.939 0.005 0.000 4.601 3.281" Properties=species:S:1:pos:R:3 pbc="T T T"
Te 0.000 0.000 0.000
Te 2.003 3.469 0.002
Ru 0.000 2.300 1.641
Mg 2.003 5.770 1.643
```

---

[6]
Here is a relaxed Ac4SmEr crystal from Alexandria via LeMat-Bulk. Energies are from GGA-PBE.

Energy relative to the elements in eV/atom: 0.376
Energy above the lowest structure with this stoichiometry in meV per atom: 216

```
6
Lattice="-2.721 6.198 2.268 0.171 1.645 6.945 4.342 5.162 2.340" Properties=species:S:1:pos:R:3 pbc="T T T"
Ac 1.121 8.135 7.227
Ac 2.487 5.023 6.088
Ac 1.035 7.309 3.740
Ac -1.059 5.544 6.052
Er 0.000 0.000 0.000
Sm 0.448 3.251 2.888
```